1.
A plane-wave DFT calculation with meta-GGA SCAN was carried out for NaNbO3 at its PBEsol-relaxed geometry.

Cell lengths 5.527, 5.601, 15.581 Å; angles 90.00, 90.00, 90.00 degrees
Atoms (fractional coordinates):
O  0.458  0.036  0.643
O  0.542  0.536  0.857
O  0.683  0.250  0.500
Nb  0.756  0.226  0.125
O  0.957  0.544  0.392
Nb  0.244  0.774  0.625
O  0.542  0.536  0.643
Na  0.259  0.294  0.750
O  0.182  0.775  0.250
O  0.957  0.956  0.608
O  0.043  0.044  0.392
O  0.957  0.544  0.108
O  0.458  0.464  0.143
Nb  0.244  0.726  0.375
O  0.043  0.044  0.108
O  0.317  0.750  0.500
O  0.542  0.964  0.143
Na  0.741  0.794  0.750
Na  0.743  0.750  0.500
Na  0.741  0.706  0.250
Na  0.257  0.250  0.000
O  0.317  0.750  0.000
Na  0.743  0.750  0.000
Nb  0.244  0.726  0.125
O  0.182  0.725  0.750
O  0.458  0.464  0.357
O  0.818  0.225  0.750
O  0.957  0.956  0.892
Na  0.257  0.250  0.500
Na  0.259  0.206  0.250
O  0.542  0.964  0.357
Nb  0.244  0.774  0.875
Nb  0.756  0.274  0.625
O  0.683  0.250  0.000
O  0.458  0.036  0.857
Nb  0.756  0.274  0.875
O  0.818  0.275  0.250
O  0.043  0.456  0.608
Nb  0.756  0.226  0.375
O  0.043  0.456  0.892

Its space group is Pbcm. As for the energy relative to the elements, uncorrected: -254 kJ per mole of atoms.

2.
A plane-wave DFT calculation with meta-GGA SCAN was carried out for Ta2MoW at its PBEsol-relaxed geometry.

Cell lengths 4.525, 4.525, 4.525 Å; angles 60.00, 60.00, 60.00 degrees
Atoms (fractional coordinates):
Ta  0.250  0.250  0.250
Mo  0.500  0.500  0.500
W  0.000  0.000  0.000
Ta  0.750  0.750  0.750

Its space group is Fm-3m. For the energy of formation, the calculation gives -0.16 eV per atom.

3.
A plane-wave DFT calculation with meta-GGA SCAN was carried out for Ti5O9 at its PBEsol-relaxed geometry.

Cell lengths 5.553, 7.109, 8.452 Å; angles 69.44, 75.08, 71.39 degrees
Each line ends with the local moment (μB).
Atoms (fractional coordinates):
O  0.372  0.853  0.978  -0.02
Ti  0.344  0.158  0.206  0.29
Ti  0.000  0.500  0.000  0.32
O  0.070  0.194  0.421  -0.01
O  0.930  0.806  0.579  -0.01
O  0.585  0.133  0.366  0.00
Ti  0.718  0.829  0.422  0.14
O  0.738  0.539  0.863  -0.02
O  0.313  0.467  0.458  0.00
Ti  0.656  0.842  0.794  0.29
O  0.282  0.486  0.797  -0.01
O  0.687  0.533  0.542  0.00
O  0.409  0.848  0.323  -0.01
Ti  0.721  0.325  0.426  0.12
Ti  0.279  0.675  0.574  0.12
Ti  0.000  0.000  0.000  0.46
O  0.628  0.147  0.022  -0.02
Ti  0.282  0.171  0.578  0.14
O  0.262  0.461  0.137  -0.02
O  0.020  0.192  0.762  -0.01
O  0.591  0.152  0.677  -0.01
O  0.980  0.808  0.238  -0.01
O  0.919  0.804  0.918  -0.02
O  0.415  0.867  0.634  0.00
O  0.718  0.514  0.203  -0.01
Ti  0.651  0.344  0.794  0.33
O  0.081  0.196  0.082  -0.02
Ti  0.349  0.656  0.206  0.33

Its space group is P-1. As for the energy relative to the elements, uncorrected: -316 kJ per mole of atoms.

4.
A plane-wave DFT calculation with meta-GGA SCAN was carried out for TaZn3Ni at its PBEsol-relaxed geometry.

Cell lengths 4.861, 4.861, 4.861 Å; angles 90.00, 90.00, 90.00 degrees
Each line ends with the local moment (μB).
Atoms (fractional coordinates):
Zn  0.500  0.000  0.000  -0.04
Zn  0.000  0.500  0.000  -0.04
Ta  0.000  0.000  0.000  -0.32
Ni  0.500  0.500  0.500  1.04
Zn  0.000  0.000  0.500  -0.04

Its space group is Pm-3m. For the energy of formation, the calculation gives 1.66 eV per atom.

5.
A plane-wave DFT calculation with meta-GGA SCAN was carried out for Ta7Mo at its PBEsol-relaxed geometry.

Cell lengths 4.605, 5.393, 6.528 Å; angles 107.43, 90.00, 115.27 degrees
Atoms (fractional coordinates):
Ta  0.754  0.508  0.630
Ta  0.246  0.492  0.370
Ta  0.498  0.996  0.755
Ta  0.758  0.517  0.126
Ta  0.000  0.000  0.500
Mo  0.000  0.000  0.000
Ta  0.502  0.004  0.245
Ta  0.242  0.483  0.874

Its space group is C2/m. For the energy of formation, the calculation gives -0.05 eV per atom.

6.
A plane-wave DFT calculation with meta-GGA SCAN was carried out for Y3Si3Rh at its PBEsol-relaxed geometry.

Cell lengths 4.185, 5.641, 12.715 Å; angles 84.58, 80.53, 68.23 degrees
Atoms (fractional coordinates):
Y  0.479  0.667  0.375
Si  0.048  0.141  0.762
Rh  0.753  0.077  0.416
Si  0.131  0.282  0.456
Si  0.952  0.859  0.238
Si  0.113  0.849  0.925
Rh  0.247  0.923  0.584
Y  0.602  0.717  0.079
Y  0.398  0.283  0.921
Si  0.869  0.718  0.544
Y  0.744  0.740  0.772
Y  0.521  0.333  0.625
Y  0.256  0.260  0.228
Si  0.887  0.151  0.075

Its space group is C2/m. As for the energy relative to the elements, uncorrected: -99 kJ per mole of atoms.

Number 1: mass density 4.5 Mg/m³. Number 2: mass density 16.3 Mg/m³. Number 3: mass density 4.4 Mg/m³. Number 4: mass density 6.3 Mg/m³. Number 5: mass density 16.4 Mg/m³. Number 6: mass density 5.5 Mg/m³.